4
Lattice="-0.956 0.094 3.497 3.372 -0.943 0.947 2.285 8.569 0.395" Properties=species:S:1:pos:R:3 comment="LiGd2Th, relaxed, DFT PBE" m_tot_mub_per_cell=14.70 energy_ev_per_atom=-9.324 formation_energy_mev_per_atom=50 spacegroup=P4/mmm pbc="T T T"
Th 2.350 3.860 2.420
Li 1.208 -0.424 2.222
Gd 0.538 2.016 0.093
Gd 1.747 6.553 0.302